Computed, not measured: crystalline HoTmSeO2 at its relaxed geometry at the GGA-PBE level of DFT. Values from VASP.

**Formation energy from raw total energies**: -3142 meV per atom
**Total magnetization**: 0.00 μB per formula unit
**SG**: No. 11

Quantum ESPRESSO input file:
```
&SYSTEM
  ibrav = 0, nat = 10, ntyp = 4
/
ATOMIC_SPECIES
Ho 164.93 Ho.upf
Tm 168.93 Tm.upf
Se 78.96 Se.upf
O 16.00 O.upf
ATOMIC_POSITIONS angstrom
Ho 0.221 0.994 3.044
Ho 3.978 2.982 4.128
Tm -0.906 0.994 6.571
Tm 5.104 2.982 0.601
Se 1.278 2.982 5.317
Se 2.921 0.994 1.855
O -1.867 2.982 6.326
O -0.701 2.982 2.698
O 4.900 0.994 4.474
O 6.065 0.994 0.847
CELL_PARAMETERS angstrom
6.410 0.000 0.000
0.000 3.976 0.000
-2.211 0.000 7.172
```

Computed, not measured: crystalline HoUSeO2 at its relaxed geometry at the GGA-PBE level of DFT. Values from VASP.

**Formation energy from raw total energies**: -2660 meV per atom
**Total magnetization**: 3.00 μB per formula unit
**SG**: No. 107

Quantum ESPRESSO input file:
```
&SYSTEM
  ibrav = 0, nat = 5, ntyp = 4
/
ATOMIC_SPECIES
Ho 164.93 Ho.upf
U 238.03 U.upf
Se 78.96 Se.upf
O 16.00 O.upf
ATOMIC_POSITIONS angstrom
Ho 0.000 0.000 0.000
U 0.000 0.000 3.605
Se 0.000 0.000 7.914
O 1.905 0.000 4.912
O 0.000 1.905 4.912
CELL_PARAMETERS angstrom
-1.905 1.905 6.077
1.905 -1.905 6.077
1.905 1.905 -6.077
```

Computed, not measured: crystalline YHoSe2O at its relaxed geometry at the GGA-PBE level of DFT. Values from VASP.

**Formation energy from raw total energies**: -2394 meV per atom
**Total magnetization**: 0.00 μB per formula unit
**SG**: No. 129

Quantum ESPRESSO input file:
```
&SYSTEM
  ibrav = 0, nat = 10, ntyp = 4
/
ATOMIC_SPECIES
Y 88.91 Y.upf
Ho 164.93 Ho.upf
Se 78.96 Se.upf
O 16.00 O.upf
ATOMIC_POSITIONS angstrom
Y 0.992 0.992 1.100
Y 2.975 2.975 13.425
Ho 0.992 0.992 9.124
Ho 2.975 2.975 5.401
Se 0.992 0.992 5.982
Se 0.992 0.992 11.743
Se 2.975 2.975 2.782
Se 2.975 2.975 8.543
O 0.992 2.975 0.000
O 2.975 0.992 0.000
CELL_PARAMETERS angstrom
3.966 0.000 0.000
0.000 3.966 0.000
0.000 0.000 14.525
```

Computed, not measured: crystalline HoSiO at its relaxed geometry at the GGA-PBE level of DFT. Values from VASP.

**Formation energy from raw total energies**: -1469 meV per atom
**Total magnetization**: 0.00 μB per formula unit
**SG**: No. 38

Quantum ESPRESSO input file:
```
&SYSTEM
  ibrav = 0, nat = 6, ntyp = 3
/
ATOMIC_SPECIES
Ho 164.93 Ho.upf
Si 28.09 Si.upf
O 16.00 O.upf
ATOMIC_POSITIONS angstrom
Ho 2.260 0.000 0.000
Ho 8.391 0.000 0.000
Si 0.000 0.000 2.002
Si 5.326 0.000 1.999
O 3.252 0.000 2.000
O 7.399 0.000 2.000
CELL_PARAMETERS angstrom
10.651 0.000 0.000
0.000 1.730 3.003
0.000 -1.730 3.003
```

Computed, not measured: crystalline Ho2SiO6 at its relaxed geometry at the GGA-PBE level of DFT. Values from VASP.

**Formation energy from raw total energies**: -2633 meV per atom
**Total magnetization**: 2.02 μB per formula unit
**SG**: No. 136

Quantum ESPRESSO input file:
```
&SYSTEM
  ibrav = 0, nat = 18, ntyp = 3
/
ATOMIC_SPECIES
Ho 164.93 Ho.upf
Si 28.09 Si.upf
O 16.00 O.upf
ATOMIC_POSITIONS angstrom
Ho 0.000 0.000 1.651
Ho 0.000 0.000 8.040
Ho 2.423 2.423 3.195
Ho 2.423 2.423 6.496
Si 0.000 0.000 4.845
Si 2.423 2.423 0.000
O 0.871 0.871 3.530
O 0.871 0.871 6.161
O 1.165 1.165 0.000
O 1.258 3.589 4.845
O 1.553 3.294 1.316
O 1.553 3.294 8.375
O 3.294 1.553 1.316
O 3.294 1.553 8.375
O 3.589 1.258 4.845
O 3.681 3.681 0.000
O 3.976 3.976 3.530
O 3.976 3.976 6.161
CELL_PARAMETERS angstrom
4.847 0.000 0.000
0.000 4.847 0.000
0.000 0.000 9.690
```

Computed, not measured: crystalline Ho4Si2O at its relaxed geometry at the GGA-PBE level of DFT. Values from VASP.

**Formation energy from raw total energies**: -1238 meV per atom
**Total magnetization**: 0.00 μB per formula unit
**SG**: No. 139

Quantum ESPRESSO input file:
```
&SYSTEM
  ibrav = 0, nat = 7, ntyp = 3
/
ATOMIC_SPECIES
Ho 164.93 Ho.upf
Si 28.09 Si.upf
O 16.00 O.upf
ATOMIC_POSITIONS angstrom
Ho 2.224 0.000 0.000
Ho 0.000 0.000 2.753
Ho 0.000 2.224 0.000
Ho 0.000 0.000 12.768
Si 0.000 0.000 5.651
Si 0.000 0.000 9.870
O 0.000 0.000 0.000
CELL_PARAMETERS angstrom
-2.224 2.224 7.761
2.224 -2.224 7.761
2.224 2.224 -7.761
```

Computed, not measured: crystalline HoSi2O5 at its relaxed geometry at the GGA-PBE level of DFT. Values from VASP.

**Formation energy from raw total energies**: -2562 meV per atom
**Total magnetization**: 0.00 μB per formula unit
**SG**: No. 59

Quantum ESPRESSO input file:
```
&SYSTEM
  ibrav = 0, nat = 16, ntyp = 3
/
ATOMIC_SPECIES
Ho 164.93 Ho.upf
Si 28.09 Si.upf
O 16.00 O.upf
ATOMIC_POSITIONS angstrom
Ho 0.845 2.837 0.331
Ho 2.534 8.512 4.606
Si 0.845 6.859 2.203
Si 0.845 10.165 2.203
Si 2.534 1.184 2.735
Si 2.534 4.491 2.735
O 0.845 0.881 2.152
O 0.845 4.794 2.152
O 0.845 7.201 0.608
O 0.845 8.512 2.946
O 0.845 9.823 0.608
O 2.534 1.526 4.330
O 2.534 2.837 1.992
O 2.534 4.149 4.330
O 2.534 6.555 2.785
O 2.534 10.469 2.785
CELL_PARAMETERS angstrom
3.379 0.000 0.000
0.000 11.350 0.000
0.000 0.000 4.937
```

Computed, not measured: crystalline HoSiO3 at its relaxed geometry at the GGA-PBE level of DFT. Values from VASP.

**Formation energy from raw total energies**: -2471 meV per atom
**Total magnetization**: 0.00 μB per formula unit
**SG**: No. 11

Quantum ESPRESSO input file:
```
&SYSTEM
  ibrav = 0, nat = 10, ntyp = 3
/
ATOMIC_SPECIES
Ho 164.93 Ho.upf
Si 28.09 Si.upf
O 16.00 O.upf
ATOMIC_POSITIONS angstrom
Ho 0.476 1.674 2.411
Ho 2.731 5.023 2.487
Si 1.755 0.000 0.000
Si 1.755 3.349 0.000
O 0.757 3.672 1.341
O 0.757 6.375 1.341
O 1.043 5.023 4.116
O 2.165 1.674 0.782
O 2.450 0.323 3.558
O 2.450 3.026 3.558
CELL_PARAMETERS angstrom
3.509 0.000 0.000
0.000 6.698 0.000
-0.302 0.000 4.898
```